First-principles (PBE) data for a relaxed structure of AcSn2Ir, as listed in Alexandria via LeMat-Bulk.

The value obtained for the energy above the most stable polymorph in this dataset is 0 meV per atom. The calculation puts the electronic total energy at -5.8978 eV per atom. Its formation energy is -15.08 kcal/mol of atoms. Its volume is 831.91 Å³/cell.

It has space group Immm (No. 71), with a = 4.788 Å, b = 9.838 Å, c = 17.662 Å, α = 90.00°, β = 90.00° and γ = 90.00°. The asymmetric unit holds Ac at (0.000, 0.000, 0.209), Ac at (0.000, 0.239, 0.000), Sn at (0.000, 0.000, 0.416), Sn at (0.000, 0.340, 0.197), Sn at (0.000, 0.500, 0.419) and Ir at (0.000, 0.251, 0.353).

---

First-principles (PBE) data for a relaxed structure of Er7Tl2Ag2, as listed in Alexandria via LeMat-Bulk.

The calculation puts the electronic total energy at -3.8285 eV per atom. Its formation energy is 0.55 kcal/mol of atoms. Its volume is 654.73 Å³/cell.

It has space group Cmmm (No. 65), with a = 8.081 Å, b = 11.145 Å, c = 7.270 Å, α = 90.00°, β = 90.00° and γ = 90.00°. The asymmetric unit holds Er at (0.000, 0.000, 0.000), Er at (0.000, 0.500, 0.249), Er at (0.250, 0.250, 0.267), Tl at (0.182, 0.000, 0.500) and Ag at (0.000, 0.291, 0.000).

---

First-principles (PBE) data for a relaxed structure of Ca2CoP, as listed in Alexandria via LeMat-Bulk.

The calculation puts the electronic total energy at -4.3298 eV per atom. Its formation energy is -4.61 kcal/mol of atoms. Its volume is 85.44 Å³/cell.

It has space group P4mm (No. 99), with a = 3.225 Å, b = 3.225 Å, c = 8.213 Å, α = 90.00°, β = 90.00° and γ = 90.00°. The asymmetric unit holds Ca at (0.000, 0.000, 0.000), Ca at (0.500, 0.500, 0.399), Co at (0.000, 0.000, 0.664) and P at (0.500, 0.500, 0.754).

---

First-principles (PBE) data for a relaxed structure of LiZrBr, as listed in Alexandria via LeMat-Bulk.

As for the uncorrected formation energy: -1.773 eV per formula unit. The value obtained for the energy above the most stable polymorph in this dataset is 155 meV per atom. The calculation puts the electronic total energy at -4.6360 eV per atom. Its volume is 268.37 Å³/cell.

It has space group Cm (No. 8), with a = 5.913 Å, b = 3.505 Å, c = 13.009 Å, α = 90.00°, β = 95.48° and γ = 90.00°. The asymmetric unit holds Li at (0.000, 0.000, 0.000), Li at (0.195, 0.500, 0.186), Zr at (0.260, 0.500, 0.496), Zr at (0.265, 0.000, 0.685), Br at (0.130, 0.500, 0.844) and Br at (0.395, 0.000, 0.338).

---

First-principles (PBE) data for a relaxed structure of Pm5Rh2Au, as listed in Alexandria via LeMat-Bulk.

The calculation puts the electronic total energy at -5.8414 eV per atom. Its formation energy is -14.41 kcal/mol of atoms. Its volume is 840.56 Å³/cell.

It has space group I4/mcm (No. 140), with a = 7.861 Å, b = 7.861 Å, c = 13.604 Å, α = 90.00°, β = 90.00° and γ = 90.00°. The asymmetric unit holds Pm at (0.000, 0.000, 0.000), Pm at (0.164, 0.336, 0.138), Rh at (0.135, 0.365, 0.500) and Au at (0.000, 0.000, 0.250).

---

First-principles (PBE) data for a relaxed structure of TmHgS2O8, as listed in Alexandria via LeMat-Bulk.

As for the uncorrected formation energy: -20.630 eV per formula unit. The calculation puts the electronic total energy at -6.1103 eV per atom. Its volume is 413.70 Å³/cell.

It has space group C2/m (No. 12), with a = 9.067 Å, b = 5.528 Å, c = 8.286 Å, α = 90.00°, β = 95.07° and γ = 90.00°. The asymmetric unit holds Tm at (0.000, 0.000, 0.000), Hg at (0.000, 0.000, 0.500), S at (0.168, 0.500, 0.216), O at (0.074, 0.281, 0.181), O at (0.213, 0.000, 0.896) and O at (0.227, 0.500, 0.387).

---

What is the formula in the sixth record? TmHgS2O8

---

What is the formula in the second record? Er7Tl2Ag2

---

Among the records above, which one has the lowest electronic total energy? TmHgS2O8